No. 1
The following is a PBE-GGA calculation of a relaxed structure of PrIn2Hg, from the Alexandria database.

Cell: 4.724 4.724 4.698 Å, 90.00 90.00 90.00°
Element x y z (fractional)
Pr 0.000 0.000 0.000
In 0.000 0.500 0.500
In 0.500 0.000 0.500
Hg 0.500 0.500 0.000

As for the crystal system: tetragonal. The calculation puts the formation energy at -0.434 eV per atom.

No. 2
The following is a PBE-GGA calculation of a relaxed structure of Pr3InHg4, from the Alexandria database.

Cell: 8.943 8.943 8.943 Å, 155.11 126.88 59.52°
Element x y z (fractional)
Pr 0.000 0.000 0.000
Pr 0.310 0.810 0.500
Pr 0.690 0.190 0.500
In 0.500 0.500 0.000
Hg 0.066 0.366 0.701
Hg 0.335 0.634 0.701
Hg 0.665 0.366 0.299
Hg 0.934 0.634 0.299

As for the crystal system: orthorhombic. The calculation puts the formation energy at -0.328 eV per atom.

No. 3
The following is a PBE-GGA calculation of a relaxed structure of Pr5InHg3, from the Alexandria database.

Cell: 9.556 9.556 6.840 Å, 90.00 90.00 120.00°
Element x y z (fractional)
Pr 0.000 0.295 0.250
Pr 0.000 0.705 0.750
Pr 0.295 0.000 0.250
Pr 0.295 0.295 0.750
Pr 0.333 0.667 0.000
Pr 0.333 0.667 0.500
Pr 0.667 0.333 0.000
Pr 0.667 0.333 0.500
Pr 0.705 0.000 0.750
Pr 0.705 0.705 0.250
In 0.000 0.000 0.000
In 0.000 0.000 0.500
Hg 0.000 0.368 0.750
Hg 0.000 0.632 0.250
Hg 0.368 0.000 0.750
Hg 0.368 0.368 0.250
Hg 0.632 0.000 0.250
Hg 0.632 0.632 0.750

As for the crystal system: hexagonal. The calculation puts the formation energy at -0.382 eV per atom.

No. 4
The following is a PBE-GGA calculation of a relaxed structure of Pr12In6Hg, from the Alexandria database.

Cell: 9.047 9.047 9.047 Å, 106.87 106.87 106.87°
Element x y z (fractional)
Pr 0.089 0.440 0.183
Pr 0.157 0.457 0.603
Pr 0.183 0.089 0.440
Pr 0.397 0.843 0.543
Pr 0.440 0.183 0.089
Pr 0.457 0.603 0.157
Pr 0.543 0.397 0.843
Pr 0.560 0.817 0.911
Pr 0.603 0.157 0.457
Pr 0.817 0.911 0.560
Pr 0.843 0.543 0.397
Pr 0.911 0.560 0.817
In 0.141 0.253 0.840
In 0.160 0.859 0.747
In 0.253 0.840 0.141
In 0.747 0.160 0.859
In 0.840 0.141 0.253
In 0.859 0.747 0.160
Hg 0.500 0.500 0.500

As for the crystal system: trigonal. The calculation puts the formation energy at -0.157 eV per atom.

No. 5
The following is a PBE-GGA calculation of a relaxed structure of Pr2In3Hg, from the Alexandria database.

Cell: 9.951 9.417 6.292 Å, 75.71 66.50 37.79°
Element x y z (fractional)
Pr 0.246 0.754 0.754
Pr 0.250 0.250 0.250
Pr 0.750 0.750 0.750
Pr 0.754 0.246 0.246
In 0.166 0.666 0.334
In 0.333 0.333 0.667
In 0.334 0.834 0.166
In 0.666 0.166 0.834
In 0.667 0.667 0.333
In 0.834 0.334 0.666
Hg 0.166 0.166 0.834
Hg 0.834 0.834 0.166

As for the crystal system: orthorhombic. The calculation puts the formation energy at -0.473 eV per atom.

No. 6
The following is a PBE-GGA calculation of a relaxed structure of Pr8InHg2, from the Alexandria database.

Cell: 8.833 8.833 5.673 Å, 100.61 100.61 118.30°
Element x y z (fractional)
Pr 0.088 0.310 0.592
Pr 0.225 0.775 0.000
Pr 0.310 0.088 0.592
Pr 0.398 0.398 0.196
Pr 0.602 0.602 0.804
Pr 0.690 0.912 0.408
Pr 0.775 0.225 0.000
Pr 0.912 0.690 0.408
In 0.000 0.000 0.000
Hg 0.309 0.691 0.500
Hg 0.691 0.309 0.500

As for the crystal system: monoclinic. The calculation puts the formation energy at -0.170 eV per atom.

No. 7
The following is a PBE-GGA calculation of a relaxed structure of Pr2In8Hg, from the Alexandria database.

Cell: 4.817 4.817 12.900 Å, 90.00 90.00 90.00°
Element x y z (fractional)
Pr 0.000 0.000 0.181
Pr 0.000 0.000 0.819
In 0.000 0.500 0.000
In 0.000 0.500 0.363
In 0.000 0.500 0.637
In 0.500 0.000 0.000
In 0.500 0.000 0.363
In 0.500 0.000 0.637
In 0.500 0.500 0.180
In 0.500 0.500 0.820
Hg 0.000 0.000 0.500

As for the crystal system: tetragonal. The calculation puts the formation energy at -0.290 eV per atom.

No. 8
The following is a PBE-GGA calculation of a relaxed structure of Pr6In5Hg, from the Alexandria database.

Cell: 6.759 6.759 10.026 Å, 96.15 96.15 120.39°
Element x y z (fractional)
Pr 0.070 0.406 0.741
Pr 0.236 0.236 0.230
Pr 0.406 0.070 0.741
Pr 0.594 0.930 0.259
Pr 0.764 0.764 0.770
Pr 0.930 0.594 0.259
In 0.000 0.000 0.500
In 0.191 0.809 0.000
In 0.356 0.644 0.500
In 0.644 0.356 0.500
In 0.809 0.191 0.000
Hg 0.500 0.500 0.000

As for the crystal system: monoclinic. The calculation puts the formation energy at -0.307 eV per atom.

No. 9
The following is a PBE-GGA calculation of a relaxed structure of Pr11In9Hg4, from the Alexandria database.

Cell: 13.950 13.950 3.902 Å, 90.00 90.00 112.93°
Element x y z (fractional)
Pr 0.000 0.000 0.000
Pr 0.058 0.410 0.000
Pr 0.161 0.839 0.000
Pr 0.287 0.287 0.000
Pr 0.361 0.639 0.000
Pr 0.410 0.058 0.000
Pr 0.590 0.942 0.000
Pr 0.639 0.361 0.000
Pr 0.713 0.713 0.000
Pr 0.839 0.161 0.000
Pr 0.942 0.590 0.000
In 0.062 0.213 0.500
In 0.157 0.633 0.500
In 0.213 0.062 0.500
In 0.367 0.843 0.500
In 0.500 0.500 0.500
In 0.633 0.157 0.500
In 0.787 0.938 0.500
In 0.843 0.367 0.500
In 0.938 0.787 0.500
Hg 0.250 0.448 0.500
Hg 0.448 0.250 0.500
Hg 0.552 0.750 0.500
Hg 0.750 0.552 0.500

As for the crystal system: orthorhombic. The calculation puts the formation energy at -0.468 eV per atom.

No. 10
The following is a PBE-GGA calculation of a relaxed structure of PrInHg, from the Alexandria database.

Cell: 7.476 7.476 4.993 Å, 90.00 90.00 144.48°
Element x y z (fractional)
Pr 0.087 0.913 0.750
Pr 0.913 0.087 0.250
In 0.246 0.754 0.250
In 0.754 0.246 0.750
Hg 0.407 0.593 0.750
Hg 0.593 0.407 0.250

As for the crystal system: orthorhombic. The calculation puts the formation energy at -0.365 eV per atom.

No. 11
The following is a PBE-GGA calculation of a relaxed structure of PrInHg, from the Alexandria database.

Cell: 6.287 6.287 6.287 Å, 133.68 105.10 92.80°
Element x y z (fractional)
Pr 0.000 0.000 0.000
Pr 0.514 0.014 0.500
In 0.393 0.676 0.716
In 0.960 0.676 0.284
Hg 0.056 0.339 0.717
Hg 0.622 0.339 0.283

As for the crystal system: orthorhombic. The calculation puts the formation energy at -0.482 eV per atom.

No. 12
The following is a PBE-GGA calculation of a relaxed structure of Pr5InHg4, from the Alexandria database.

Cell: 3.857 3.857 19.549 Å, 90.00 90.00 90.00°
Element x y z (fractional)
Pr 0.000 0.000 0.000
Pr 0.000 0.000 0.198
Pr 0.000 0.000 0.397
Pr 0.000 0.000 0.603
Pr 0.000 0.000 0.802
In 0.500 0.500 0.500
Hg 0.500 0.500 0.100
Hg 0.500 0.500 0.298
Hg 0.500 0.500 0.702
Hg 0.500 0.500 0.900

As for the crystal system: tetragonal. The calculation puts the formation energy at -0.472 eV per atom.

No. 13
The following is a PBE-GGA calculation of a relaxed structure of Pr4In2Hg3, from the Alexandria database.

Cell: 6.023 6.023 9.683 Å, 107.00 107.00 50.25°
Element x y z (fractional)
Pr 0.059 0.059 0.347
Pr 0.353 0.353 0.105
Pr 0.647 0.647 0.895
Pr 0.941 0.941 0.653
In 0.282 0.282 0.739
In 0.718 0.718 0.261
Hg 0.000 0.000 0.000
Hg 0.360 0.360 0.437
Hg 0.640 0.640 0.563

As for the crystal system: monoclinic. The calculation puts the formation energy at -0.415 eV per atom.

No. 14
The following is a PBE-GGA calculation of a relaxed structure of Pr4InHg, from the Alexandria database.

Cell: 5.311 5.311 7.610 Å, 90.00 90.00 90.00°
Element x y z (fractional)
Pr 0.000 0.500 0.245
Pr 0.000 0.500 0.755
Pr 0.500 0.000 0.245
Pr 0.500 0.000 0.755
In 0.000 0.000 0.500
Hg 0.500 0.500 0.000

As for the crystal system: tetragonal. The calculation puts the formation energy at -0.108 eV per atom.

No. 15
The following is a PBE-GGA calculation of a relaxed structure of Pr4InHg7, from the Alexandria database.

Cell: 8.374 8.374 9.470 Å, 121.41 121.41 38.32°
Element x y z (fractional)
Pr 0.067 0.067 0.244
Pr 0.237 0.237 0.759
Pr 0.763 0.763 0.241
Pr 0.933 0.933 0.756
In 0.500 0.500 0.500
Hg 0.000 0.000 0.500
Hg 0.183 0.183 0.043
Hg 0.309 0.309 0.494
Hg 0.444 0.444 0.121
Hg 0.556 0.556 0.879
Hg 0.691 0.691 0.506
Hg 0.817 0.817 0.957

As for the crystal system: monoclinic. The calculation puts the formation energy at -0.307 eV per atom.

No. 16
The following is a PBE-GGA calculation of a relaxed structure of Pr3InHg3, from the Alexandria database.

Cell: 9.497 9.497 5.215 Å, 90.00 90.00 120.00°
Element x y z (fractional)
Pr 0.098 0.656 0.250
Pr 0.344 0.443 0.250
Pr 0.443 0.098 0.750
Pr 0.557 0.902 0.250
Pr 0.656 0.557 0.750
Pr 0.902 0.344 0.750
In 0.333 0.667 0.750
In 0.667 0.333 0.250
Hg 0.040 0.808 0.750
Hg 0.192 0.231 0.750
Hg 0.231 0.040 0.250
Hg 0.769 0.960 0.750
Hg 0.808 0.769 0.250
Hg 0.960 0.192 0.250

As for the crystal system: hexagonal. The calculation puts the formation energy at -0.367 eV per atom.

No. 17
The following is a PBE-GGA calculation of a relaxed structure of PrIn2Hg8, from the Alexandria database.

Cell: 11.023 11.023 3.405 Å, 90.05 90.05 132.93°
Element x y z (fractional)
Pr 0.000 0.000 0.000
In 0.265 0.735 0.500
In 0.735 0.265 0.500
Hg 0.039 0.316 0.500
Hg 0.316 0.039 0.500
Hg 0.321 0.321 0.500
Hg 0.390 0.610 0.000
Hg 0.610 0.390 0.000
Hg 0.679 0.679 0.500
Hg 0.684 0.961 0.500
Hg 0.961 0.684 0.500

As for the crystal system: monoclinic. The calculation puts the formation energy at -0.040 eV per atom.

No. 18
The following is a PBE-GGA calculation of a relaxed structure of Pr3In3Hg, from the Alexandria database.

Cell: 6.338 6.338 15.591 Å, 107.57 107.57 44.80°
Element x y z (fractional)
Pr 0.036 0.036 0.381
Pr 0.102 0.102 0.922
Pr 0.234 0.234 0.222
Pr 0.766 0.766 0.778
Pr 0.898 0.898 0.078
Pr 0.964 0.964 0.619
In 0.368 0.368 0.457
In 0.385 0.385 0.926
In 0.481 0.481 0.770
In 0.519 0.519 0.230
In 0.615 0.615 0.074
In 0.632 0.632 0.543
Hg 0.258 0.258 0.615
Hg 0.742 0.742 0.385

As for the crystal system: monoclinic. The calculation puts the formation energy at -0.461 eV per atom.

No. 19
The following is a PBE-GGA calculation of a relaxed structure of PrIn2Hg, from the Alexandria database.

Cell: 11.541 11.541 11.541 Å, 17.34 17.34 17.34°
Element x y z (fractional)
Pr 0.000 0.000 0.000
In 0.095 0.095 0.095
In 0.905 0.905 0.905
Hg 0.500 0.500 0.500

As for the crystal system: trigonal. The calculation puts the formation energy at 0.090 eV per atom.

No. 20
The following is a PBE-GGA calculation of a relaxed structure of Pr3In2Hg3, from the Alexandria database.

Cell: 6.351 6.351 15.939 Å, 90.00 90.00 135.70°
Element x y z (fractional)
Pr 0.082 0.918 0.608
Pr 0.082 0.918 0.892
Pr 0.361 0.639 0.750
Pr 0.639 0.361 0.250
Pr 0.918 0.082 0.108
Pr 0.918 0.082 0.392
In 0.208 0.792 0.108
In 0.208 0.792 0.392
In 0.792 0.208 0.608
In 0.792 0.208 0.892
Hg 0.370 0.630 0.250
Hg 0.383 0.617 0.535
Hg 0.383 0.617 0.965
Hg 0.617 0.383 0.035
Hg 0.617 0.383 0.465
Hg 0.630 0.370 0.750

As for the crystal system: orthorhombic. The calculation puts the formation energy at -0.449 eV per atom.

no.,electronic total energy (eV per atom)
1,-3.074
2,-2.614
3,-3.442
4,-4.057
5,-3.485
6,-3.950
7,-3.178
8,-3.863
9,-3.736
10,-2.972
11,-3.089
12,-3.256
13,-3.249
14,-3.801
15,-2.304
16,-2.936
17,-1.192
18,-3.726
19,-2.549
20,-3.039